VRh2O6 PBE with a Hubbard U optimized geometry; magnetization = 0.2 μB per formula unit; energy relative to the lowest polymorph listed for this composition = 2.29 eV/f.u.; volume = 11.7 A^3/atom; space group = C2/m (12)
1.0
4.841 -1.877 0.000
4.841 1.877 0.000
-2.922 0.000 5.795
V Rh O
1 2 6
Cartesian
0.000 0.000 0.000
-0.056 0.000 3.517
6.814 0.000 2.278
-1.939 0.000 4.219
1.691 0.000 2.513
0.884 0.000 5.226
5.875 0.000 0.569
5.068 0.000 3.282
8.698 0.000 1.576